1.
## Li2GaBr (GGA-PBE)

Data for crystalline Li2GaBr at its relaxed geometry.

## Properties
The value obtained for the uncorrected formation energy is -0.29 eV per atom.

Cell lengths 4.931, 4.931, 4.931 Å; angles 60.00, 60.00, 60.00 degrees
Element x y z (fractional)
Li 0.250 0.250 0.250
Li 0.750 0.750 0.750
Ga 0.000 0.000 0.000
Br 0.500 0.500 0.500

2.
## ErPaSnPd (GGA-PBE)

Data for crystalline ErPaSnPd at its relaxed geometry.

Cell lengths 5.160, 5.160, 5.160 Å; angles 60.00, 60.00, 60.00 degrees
Element x y z (fractional)
Er 0.000 0.000 0.000
Pa 0.500 0.500 0.500
Sn 0.750 0.750 0.750
Pd 0.250 0.250 0.250

3.
## KAcHg2 (GGA-PBE)

Data for crystalline KAcHg2 at its relaxed geometry.

Cell lengths 10.030, 10.030, 10.030 Å; angles 24.63, 24.63, 24.63 degrees
Element x y z (fractional)
K 0.000 0.000 0.000
Ac 0.500 0.500 0.500
Hg 0.244 0.244 0.244
Hg 0.756 0.756 0.756

4.
## Sc3NiC4 (GGA-PBE)

Data for crystalline Sc3NiC4 at its relaxed geometry.

Cell lengths 6.575, 6.575, 6.575 Å; angles 149.61, 141.10, 50.14 degrees
Element x y z (fractional)
Sc 0.000 0.000 0.000
Sc 0.313 0.813 0.500
Sc 0.687 0.187 0.500
Ni 0.500 0.500 0.000
C 0.042 0.376 0.666
C 0.290 0.624 0.666
C 0.710 0.376 0.334
C 0.958 0.624 0.334

5.
## ScPaZnTc (GGA-PBE)

Data for crystalline ScPaZnTc at its relaxed geometry.

Cell lengths 4.803, 4.803, 4.803 Å; angles 60.00, 60.00, 60.00 degrees
Element x y z (fractional)
Sc 0.000 0.000 0.000
Pa 0.500 0.500 0.500
Zn 0.250 0.250 0.250
Tc 0.750 0.750 0.750

6.
## Pm2HoScBi5 (GGA-PBE)

Data for crystalline Pm2HoScBi5 at its relaxed geometry.

Cell lengths 5.463, 5.463, 11.543 Å; angles 90.00, 90.00, 90.00 degrees
Element x y z (fractional)
Pm 0.000 0.000 0.220
Pm 0.000 0.000 0.780
Ho 0.500 0.500 0.000
Sc 0.500 0.500 0.500
Bi 0.000 0.000 0.500
Bi 0.000 0.500 0.000
Bi 0.500 0.000 0.000
Bi 0.500 0.500 0.261
Bi 0.500 0.500 0.739

Number 1: energy -9.67 eV/cell. Number 2: energy -24.61 eV/cell. Number 3: energy -6.67 eV/cell. Number 4: energy -65.10 eV/cell. Number 5: energy -28.10 eV/cell. Number 6: energy -40.30 eV/cell.